First-principles (GGA-PBEsol) data for crystalline FeSeS2 at its relaxed geometry, as listed in the Alexandria database.

Geometry as extended XYZ:
```
8
Lattice="-2.961 2.961 4.077 2.961 -2.961 4.077 2.961 2.961 -4.077" Properties=species:S:1:pos:R:3 pbc="T T T"
Fe 0.000 0.000 0.000
Fe 0.000 2.961 2.039
Se 2.961 0.000 2.039
Se 0.000 0.000 4.077
S 1.480 1.028 -1.019
S 1.933 -1.480 5.097
S 1.480 1.933 3.058
S 1.028 4.441 1.019
```

Output
**Formation energy without anion corrections**: 44 meV per atom
**Energy above the most stable polymorph in this dataset**: 0.0 meV per atom
**Calculated density**: 4.62 Mg/m³